No. 1
A plane-wave DFT calculation with GGA-PBE was carried out for LiAc2Sn3 after structural relaxation.

Calculated values
electronic total energy: -4.28 eV per atom
energy relative to the lowest polymorph listed for this composition: 0.046 eV/atom
volume: 30.7 A^3/atom
M_tot: 0.37 μB/f.u.
formation energy: -595.0 meV per atom

```
LiAc2Sn3
1.0
4.636 0.000 0.000
0.000 4.852 0.000
0.000 0.000 8.195
Li Ac Sn
1 2 3
direct
0.000 0.000 0.000
0.500 0.000 0.671
0.500 0.500 0.186
0.000 0.000 0.325
0.000 0.500 0.519
0.000 0.500 0.868
```

No. 2
A plane-wave DFT calculation with GGA-PBE was carried out for LaSbAs2 after structural relaxation.

Calculated values
electronic total energy: -4.84 eV per atom
volume: 25.5 A^3/atom
M_tot: 0.00 μB/f.u.
formation energy without anion corrections: -1.0 eV per formula unit

```
LaSbAs2
1.0
7.413 0.000 0.000
0.000 7.413 0.000
0.000 0.000 7.413
La Sb As
4 4 8
direct
0.000 0.000 0.000
0.000 0.500 0.500
0.500 0.000 0.500
0.500 0.500 0.000
0.250 0.250 0.250
0.250 0.750 0.750
0.750 0.250 0.750
0.750 0.750 0.250
0.000 0.000 0.500
0.000 0.500 0.000
0.250 0.250 0.750
0.250 0.750 0.250
0.500 0.000 0.000
0.500 0.500 0.500
0.750 0.250 0.250
0.750 0.750 0.750
```

No. 3
A plane-wave DFT calculation with GGA-PBE was carried out for K4Re after structural relaxation.

Calculated values
electronic total energy: -2.14 eV per atom
energy relative to the lowest polymorph listed for this composition: 0.000 eV/atom
volume: 54.2 A^3/atom
M_tot: 3.38 μB/f.u.
formation energy: 1227.7 meV per atom

```
K4Re
1.0
8.154 0.000 0.000
0.000 8.154 0.000
0.000 0.000 8.154
K Re
8 2
direct
0.250 0.250 0.250
0.250 0.250 0.750
0.250 0.750 0.250
0.250 0.750 0.750
0.750 0.250 0.250
0.750 0.250 0.750
0.750 0.750 0.250
0.750 0.750 0.750
0.000 0.000 0.000
0.500 0.500 0.500
```

No. 4
A plane-wave DFT calculation with GGA-PBE was carried out for TbPr4Al after structural relaxation.

Calculated values
electronic total energy: -4.61 eV per atom
volume: 32.7 A^3/atom
M_tot: 0.00 μB/f.u.
formation energy: -23.5 meV per atom

```
TbPr4Al
1.0
4.535 -7.111 0.000
4.535 7.111 0.000
-2.125 0.000 6.085
Tb Pr Al
2 8 2
direct
0.092 0.908 0.750
0.908 0.092 0.250
0.108 0.330 0.874
0.216 0.582 0.451
0.330 0.108 0.374
0.418 0.784 0.049
0.582 0.216 0.951
0.670 0.892 0.626
0.784 0.418 0.549
0.892 0.670 0.126
0.500 0.500 0.250
0.500 0.500 0.750
```

No. 5
A plane-wave DFT calculation with GGA-PBE was carried out for NdSm2Cu6 after structural relaxation.

Calculated values
electronic total energy: -4.54 eV per atom
volume: 19.5 A^3/atom
M_tot: 0.00 μB/f.u.
formation energy: -228.5 meV per atom

```
NdSm2Cu6
1.0
7.397 0.000 0.000
-3.699 6.406 0.000
0.000 0.000 3.711
Nd Sm Cu
1 2 6
direct
0.000 0.000 0.000
0.333 0.667 0.000
0.667 0.333 0.000
0.000 0.334 0.500
0.000 0.666 0.500
0.334 0.000 0.500
0.334 0.334 0.500
0.666 0.000 0.500
0.666 0.666 0.500
```

No. 6
A plane-wave DFT calculation with GGA-PBE was carried out for AcTb2Pr6Dy after structural relaxation.

Calculated values
electronic total energy: -4.55 eV per atom
volume: 36.2 A^3/atom
M_tot: 0.00 μB/f.u.
formation energy: 116.3 meV per atom

```
AcTb2Pr6Dy
1.0
4.725 -7.810 0.000
4.725 7.810 0.000
-1.080 0.000 9.798
Ac Tb Pr Dy
2 4 12 2
direct
0.026 0.974 0.750
0.974 0.026 0.250
0.203 0.311 0.547
0.311 0.203 0.047
0.689 0.797 0.953
0.797 0.689 0.453
0.009 0.558 0.686
0.123 0.754 0.053
0.246 0.877 0.447
0.292 0.507 0.882
0.442 0.991 0.814
0.493 0.708 0.618
0.507 0.292 0.382
0.558 0.009 0.186
0.708 0.493 0.118
0.754 0.123 0.553
0.877 0.246 0.947
0.991 0.442 0.314
0.412 0.588 0.250
0.588 0.412 0.750
```

No. 7
A plane-wave DFT calculation with GGA-PBE was carried out for PrMg3Zn2 after structural relaxation.

Calculated values
electronic total energy: -2.20 eV per atom
volume: 22.7 A^3/atom
M_tot: 0.00 μB/f.u.
formation energy: -181.4 meV per atom

```
PrMg3Zn2
1.0
8.313 -2.258 0.000
8.313 2.258 0.000
-3.732 0.000 7.252
Pr Mg Zn
2 6 4
direct
0.145 0.145 0.064
0.855 0.855 0.936
0.046 0.046 0.375
0.312 0.312 0.548
0.395 0.395 0.289
0.605 0.605 0.711
0.688 0.688 0.452
0.954 0.954 0.625
0.208 0.208 0.735
0.480 0.480 0.838
0.520 0.520 0.162
0.792 0.792 0.265
```

No. 8
A plane-wave DFT calculation with GGA-PBE was carried out for La8HgIr2 after structural relaxation.

Calculated values
electronic total energy: -5.58 eV per atom
volume: 31.7 A^3/atom
M_tot: 0.00 μB/f.u.
formation energy: -360.1 meV per atom

```
La8HgIr2
1.0
4.379 -7.066 0.000
4.379 7.066 0.000
-1.599 0.000 5.640
La Hg Ir
8 1 2
direct
0.089 0.337 0.560
0.243 0.757 0.000
0.337 0.089 0.560
0.398 0.398 0.193
0.602 0.602 0.807
0.663 0.911 0.440
0.757 0.243 0.000
0.911 0.663 0.440
0.000 0.000 0.000
0.286 0.714 0.500
0.714 0.286 0.500
```

No. 9
A plane-wave DFT calculation with GGA-PBE was carried out for AcCu2Pt4 after structural relaxation.

Calculated values
electronic total energy: -5.63 eV per atom
energy relative to the lowest polymorph listed for this composition: 0.000 eV/atom
volume: 17.9 A^3/atom
M_tot: 0.00 μB/f.u.
formation energy: -421.8 meV per atom

```
AcCu2Pt4
1.0
8.651 0.000 0.000
0.000 6.933 0.000
-3.137 0.000 4.175
Ac Cu Pt
2 4 8
direct
0.000 0.000 0.000
0.500 0.500 0.000
0.000 0.500 0.250
0.000 0.500 0.750
0.500 0.000 0.250
0.500 0.000 0.750
0.199 0.198 0.699
0.199 0.802 0.699
0.301 0.302 0.301
0.301 0.698 0.301
0.699 0.302 0.699
0.699 0.698 0.699
0.801 0.198 0.301
0.801 0.802 0.301
```

No. 10
A plane-wave DFT calculation with GGA-PBE was carried out for AgSe2F after structural relaxation.

Calculated values
electronic total energy: -3.20 eV per atom
energy relative to the lowest polymorph listed for this composition: 0.021 eV/atom
volume: 24.1 A^3/atom
M_tot: 0.00 μB/f.u.
formation energy without anion corrections: -1.1 eV per formula unit

```
AgSe2F
1.0
4.588 0.000 0.000
-2.294 3.973 0.000
0.000 0.000 15.887
Ag Se F
3 6 3
direct
0.000 0.000 0.000
0.333 0.667 0.667
0.667 0.333 0.333
0.000 0.000 0.157
0.000 0.000 0.843
0.333 0.667 0.509
0.333 0.667 0.824
0.667 0.333 0.176
0.667 0.333 0.491
0.000 0.000 0.500
0.333 0.667 0.167
0.667 0.333 0.833
```

No. 11
A plane-wave DFT calculation with GGA-PBE was carried out for Tm2CoSe after structural relaxation.

Calculated values
electronic total energy: -5.72 eV per atom
energy relative to the lowest polymorph listed for this composition: 0.137 eV/atom
volume: 21.8 A^3/atom
M_tot: 0.00 μB/f.u.
formation energy without anion corrections: -3.3 eV per formula unit

```
Tm2CoSe
1.0
3.806 0.000 0.000
-1.903 3.296 0.000
0.000 0.000 20.865
Tm Co Se
6 3 3
direct
0.000 0.000 0.241
0.000 0.000 0.759
0.333 0.667 0.425
0.333 0.667 0.908
0.667 0.333 0.092
0.667 0.333 0.575
0.000 0.000 0.500
0.333 0.667 0.167
0.667 0.333 0.833
0.000 0.000 0.000
0.333 0.667 0.667
0.667 0.333 0.333
```

No. 12
A plane-wave DFT calculation with GGA-PBE was carried out for Cs2DyMg3F12 after structural relaxation.

Calculated values
electronic total energy: -5.18 eV per atom
volume: 17.4 A^3/atom
M_tot: 1.20 μB/f.u.
formation energy without anion corrections: -59.7 eV per formula unit

```
Cs2DyMg3F12
1.0
3.778 2.181 6.323
-3.778 2.181 6.323
0.000 -4.362 6.323
Cs Dy Mg F
2 1 3 12
direct
0.117 0.117 0.117
0.883 0.883 0.883
0.500 0.500 0.500
0.000 0.500 0.500
0.500 0.000 0.500
0.500 0.500 0.000
0.156 0.579 0.579
0.192 0.192 0.573
0.192 0.573 0.192
0.421 0.421 0.844
0.421 0.844 0.421
0.427 0.808 0.808
0.573 0.192 0.192
0.579 0.156 0.579
0.579 0.579 0.156
0.808 0.427 0.808
0.808 0.808 0.427
0.844 0.421 0.421
```

- Look up the electronic total energy of the tenth one.
  -3.20 eV per atom

- M_tot of number 4 (TbPr4Al)?
  0.00 μB/f.u.

- Which value of electronic total energy does entry 7 give?
  -2.20 eV per atom